# 1
Here is a relaxed structure of TaMoOs from Alexandria via LeMat-Bulk. Energies are from PBE-GGA.

a = 4.4452 Å, b = 4.4452 Å, c = 2.8132 Å
α = 90.00°, β = 90.00°, γ = 120.00°
Last column: nearest neighbours and their distance in Å.
Atoms (fractional coordinates):
Ta: 0.0000 0.0000 0.0000  3 Mo 2.71, 3 Os 2.72, 2 Ta 2.81
Mo: 0.6667 0.3333 0.3125  3 Ta 2.71, 3 Os 2.76, 2 Mo 2.81
Os: 0.3333 0.6667 0.6767  3 Ta 2.72, 3 Mo 2.76, 2 Os 2.81

Results
ΔH_f (0 K)	-0.0178	eV per atom
VASP energy	-11.322	eV per atom
calculated density	16.1	g cm⁻³

# 2
Here is a relaxed structure of Ca3Pt2Pb from Alexandria via LeMat-Bulk. Energies are from PBE-GGA.

a = 3.5073 Å, b = 3.5073 Å, c = 11.8770 Å
α = 90.00°, β = 90.00°, γ = 90.00°
Last column: nearest neighbours and their distance in Å.
Atoms (fractional coordinates):
Ca: 0.0000 0.0000 0.0000  8 Pt 3.04
Ca: 0.0000 0.0000 0.2907  4 Pt 3.01
Ca: 0.0000 0.0000 0.7093  4 Pt 3.01
Pt: 0.5000 0.5000 0.1477  8 Ca 3.01-3.04
Pt: 0.5000 0.5000 0.8523  8 Ca 3.01-3.04
Pb: 0.5000 0.5000 0.5000  4 Pb 3.51, 8 Ca 3.51

Results
ΔH_f (0 K)	-0.7699	eV per atom
VASP energy	-4.402	eV per atom
calculated density	8.2	g cm⁻³

# 3
Here is a relaxed structure of PuPaGe6 from Alexandria via LeMat-Bulk. Energies are from PBE-GGA.

a = 4.2715 Å, b = 4.2715 Å, c = 8.4719 Å
α = 90.00°, β = 90.00°, γ = 90.00°
Last column: nearest neighbours and their distance in Å.
Atoms (fractional coordinates):
Pu: 0.0000 0.0000 0.0000  12 Ge 2.99-3.02
Pa: 0.0000 0.0000 0.5000  12 Ge 3.02
Ge: 0.0000 0.5000 0.2474  8 Ge 2.99-3.02, 2 Pu 2.99, 2 Pa 3.02
Ge: 0.0000 0.5000 0.7526  8 Ge 2.99-3.02, 2 Pu 2.99, 2 Pa 3.02
Ge: 0.5000 0.0000 0.2474  8 Ge 2.99-3.02, 2 Pu 2.99, 2 Pa 3.02
Ge: 0.5000 0.0000 0.7526  8 Ge 2.99-3.02, 2 Pu 2.99, 2 Pa 3.02
Ge: 0.5000 0.5000 0.0000  8 Ge 2.99, 4 Pu 3.02
Ge: 0.5000 0.5000 0.5000  4 Pa 3.02, 8 Ge 3.02

Results
ΔH_f (0 K)	-0.4213	eV per atom
VASP energy	-6.863	eV per atom
calculated density	9.8	g cm⁻³